# PuHgSe3 GGA-PBE relaxed
# * size of the total moment: 0.80 μB/atom
# * formation energy from raw total energies: -0.747 eV/atom
# * calculated volume: 163.3 Å³/f.u.
data_PuHgSe3
_space_group_name_H-M_alt 'P 1 21/m 1'
_space_group_IT_number 11
_cell_length_a 6.842
_cell_length_b 4.284
_cell_length_c 11.221
_cell_angle_alpha 90.00
_cell_angle_beta 96.69
_cell_angle_gamma 90.00
loop_
_space_group_symop_operation_xyz
'x,y,z'
'-x,-y,-z'
'-x,y+1/2,-z'
'x,-y+1/2,z'
loop_
_atom_site_label
_atom_site_fract_x
_atom_site_fract_y
_atom_site_fract_z
Pu1 0.032 0.250 0.162
Hg1 0.480 0.750 0.318
Se1 0.160 0.250 0.741
Se2 0.225 0.750 0.055
Se3 0.292 0.250 0.379

---

# Sr2PuHgSe5 GGA-PBE relaxed
# * size of the total moment: 0.44 μB/atom
# * formation energy from raw total energies: -1.346 eV/atom
# * calculated volume: 254.8 Å³/f.u.
data_Sr2PuHgSe5
_space_group_name_H-M_alt 'C m c 21'
_space_group_IT_number 36
_cell_length_a 4.251
_cell_length_b 18.382
_cell_length_c 13.044
_cell_angle_alpha 90.00
_cell_angle_beta 90.00
_cell_angle_gamma 90.00
loop_
_space_group_symop_operation_xyz
'x,y,z'
'-x,-y,z+1/2'
'-x,y,z'
'x,-y,z+1/2'
'x+1/2,y+1/2,z'
'-x+1/2,-y+1/2,z+1/2'
'-x+1/2,y+1/2,z'
'x+1/2,-y+1/2,z+1/2'
loop_
_atom_site_label
_atom_site_fract_x
_atom_site_fract_y
_atom_site_fract_z
Sr1 0.000 0.111 0.000
Sr2 0.000 0.126 0.632
Pu1 0.000 0.208 0.333
Hg1 0.000 0.456 0.765
Se1 0.000 0.058 0.386
Se2 0.000 0.287 0.978
Se3 0.000 0.302 0.685
Se4 0.000 0.360 0.320
Se5 0.000 0.496 0.080

---

# PuTlHgSe3 GGA-PBE relaxed
# * size of the total moment: 0.83 μB/atom
# * formation energy from raw total energies: -0.749 eV/atom
# * calculated volume: 184.0 Å³/f.u.
data_PuTlHgSe3
_space_group_name_H-M_alt 'P 1 21/m 1'
_space_group_IT_number 11
_cell_length_a 8.824
_cell_length_b 4.318
_cell_length_c 10.033
_cell_angle_alpha 90.00
_cell_angle_beta 105.73
_cell_angle_gamma 90.00
loop_
_space_group_symop_operation_xyz
'x,y,z'
'-x,-y,-z'
'-x,y+1/2,-z'
'x,-y+1/2,z'
loop_
_atom_site_label
_atom_site_fract_x
_atom_site_fract_y
_atom_site_fract_z
Pu1 0.178 0.250 0.142
Tl1 0.282 0.750 0.775
Hg1 0.409 0.750 0.386
Se1 0.038 0.250 0.848
Se2 0.263 0.250 0.461
Se3 0.394 0.750 0.117

---

# Pu2Tl3HgSe6 GGA-PBE relaxed
# * size of the total moment: 0.75 μB/atom
# * formation energy from raw total energies: -0.798 eV/atom
# * calculated volume: 354.3 Å³/f.u.
data_Pu2Tl3HgSe6
_space_group_name_H-M_alt 'C 1 2/m 1'
_space_group_IT_number 12
_cell_length_a 7.184
_cell_length_b 12.824
_cell_length_c 8.017
_cell_angle_alpha 90.00
_cell_angle_beta 106.37
_cell_angle_gamma 90.00
loop_
_space_group_symop_operation_xyz
'x,y,z'
'-x,-y,-z'
'-x,y,-z'
'x,-y,z'
'x+1/2,y+1/2,z'
'-x+1/2,-y+1/2,-z'
'-x+1/2,y+1/2,-z'
'x+1/2,-y+1/2,z'
loop_
_atom_site_label
_atom_site_fract_x
_atom_site_fract_y
_atom_site_fract_z
Pu1 0.000 0.168 0.000
Tl1 0.000 0.000 0.500
Tl2 0.000 0.337 0.500
Hg1 0.000 0.500 0.000
Se1 0.235 0.000 0.194
Se2 0.247 0.321 0.215

---

# PuTl2Hg2Se4 GGA-PBE relaxed
# * size of the total moment: 0.46 μB/atom
# * formation energy from raw total energies: -0.541 eV/atom
# * calculated volume: 263.6 Å³/f.u.
data_PuTl2Hg2Se4
_space_group_name_H-M_alt 'C 1 2/m 1'
_space_group_IT_number 12
_cell_length_a 16.789
_cell_length_b 4.162
_cell_length_c 8.571
_cell_angle_alpha 90.00
_cell_angle_beta 118.31
_cell_angle_gamma 90.00
loop_
_space_group_symop_operation_xyz
'x,y,z'
'-x,-y,-z'
'-x,y,-z'
'x,-y,z'
'x+1/2,y+1/2,z'
'-x+1/2,-y+1/2,-z'
'-x+1/2,y+1/2,-z'
'x+1/2,-y+1/2,z'
loop_
_atom_site_label
_atom_site_fract_x
_atom_site_fract_y
_atom_site_fract_z
Pu1 0.000 0.000 0.000
Tl1 0.122 0.000 0.541
Hg1 0.200 0.500 0.040
Se1 0.017 0.500 0.786
Se2 0.187 0.000 0.255

---

# PuSiHg GGA-PBE relaxed
# * size of the total moment: 1.87 μB/atom
# * formation energy from raw total energies: -0.284 eV/atom
# * calculated volume: 67.1 Å³/f.u.
# * polymorph energy (0 for the lowest one): 0 meV per atom
data_PuSiHg
_space_group_name_H-M_alt 'C m c m'
_space_group_IT_number 63
_space_group_name_Hall '-C 2c 2'
_cell_length_a 4.202
_cell_length_b 16.612
_cell_length_c 3.847
_cell_angle_alpha 90.00
_cell_angle_beta 90.00
_cell_angle_gamma 90.00
loop_
_atom_site_label
_atom_site_fract_x
_atom_site_fract_y
_atom_site_fract_z
Pu1 0.000 0.095 0.250
Si1 0.000 0.458 0.250
Hg1 0.000 0.290 0.250